Record 1
Below is an optimized crystal structure of Cu8H, with properties calculated at the PBE level.

Unit cell a=5.1769 b=5.1769 c=4.2285 alpha=90.00 beta=90.00 gamma=120.00
Last column: nearest neighbours and their distance in Å.
Fractional positions:
H  0.3333  0.1667  0.2500  6 Cu 1.86
Cu  0.5034  0.5068  0.9973  1 H 1.86
Cu  0.5034  0.9966  0.9973  1 H 1.86
Cu  0.9932  0.9966  0.9973  1 H 1.86
Cu  0.0000  0.5000  0.9962  12 Cu 2.55-2.59
Cu  0.1632  0.3368  0.5027  1 H 1.86
Cu  0.1632  0.8265  0.5027  1 H 1.86
Cu  0.6667  0.8333  0.5038  12 Cu 2.55-2.59
Cu  0.6735  0.3368  0.5027  1 H 1.86

Computed properties:
Electronic total energy ... -3.966 eV/atom
Crystal system ... trigonal
Calculated volume ... 10.90 Å³/atom


Record 2
Below is an optimized crystal structure of K4CaI6, with properties calculated at the PBE level.

Unit cell a=9.9254 b=9.9254 c=9.9254 alpha=89.77 beta=89.77 gamma=90.23
Last column: nearest neighbours and their distance in Å.
Fractional positions:
K  0.3678  0.1322  0.2500  8 I 3.72-3.92
K  0.8678  0.2500  0.3678  8 I 3.72-3.92
K  0.2500  0.6322  0.1322  8 I 3.72-3.92
K  0.2500  0.2500  0.7500  6 I 3.55
K  0.7500  0.7500  0.2500  6 I 3.55
K  0.7500  0.3678  0.8678  8 I 3.72-3.92
K  0.1322  0.7500  0.6322  8 I 3.72-3.92
K  0.6322  0.8678  0.7500  8 I 3.72-3.92
Ca  0.5000  0.5000  0.5000  6 I 3.14
Ca  0.0000  0.0000  0.0000  6 I 3.14
I  0.6970  0.0558  0.0710  1 Ca 3.14
I  0.0710  0.3030  0.0558  1 Ca 3.14
I  0.5710  0.4442  0.1970  1 Ca 3.14
I  0.9442  0.0710  0.6970  1 Ca 3.14
I  0.5558  0.1970  0.5710  1 Ca 3.14
I  0.1970  0.4290  0.4442  1 Ca 3.14
I  0.8030  0.5710  0.5558  1 Ca 3.14
I  0.4442  0.8030  0.4290  1 Ca 3.14
I  0.0558  0.9290  0.3030  1 Ca 3.14
I  0.4290  0.5558  0.8030  1 Ca 3.14
I  0.9290  0.6970  0.9442  1 Ca 3.14
I  0.3030  0.9442  0.9290  1 Ca 3.14

Computed properties:
Electronic total energy ... -2.935 eV/atom
Crystal system ... trigonal
Energy relative to the elements, uncorrected ... -1508 meV per atom
Calculated volume ... 44.44 Å³/atom


Record 3
Below is an optimized crystal structure of GdPtRh, with properties calculated at the PBE level.

Unit cell a=3.5602 b=3.5602 c=5.1735 alpha=110.13 beta=110.13 gamma=90.00
Last column: nearest neighbours and their distance in Å.
Fractional positions:
Gd  0.6161  0.6161  0.2321  5 Rh 2.94-2.99, 5 Pt 2.95-2.98
Rh  0.9471  0.9471  0.8943  5 Pt 2.90-3.07, 5 Gd 2.94-2.99
Pt  0.2868  0.2868  0.5736  5 Rh 2.90-3.07, 5 Gd 2.95-2.98

Computed properties:
Energy of formation ... -0.57 eV/atom
Electronic total energy ... -9.728 eV/atom
Crystal system ... tetragonal
Calculated volume ... 19.10 Å³/atom


Record 4
Below is an optimized crystal structure of HgAsSe2, with properties calculated at the PBE level.

Unit cell a=7.0667 b=7.0667 c=7.0667 alpha=32.98 beta=32.98 gamma=32.98
Last column: nearest neighbours and their distance in Å.
Fractional positions:
As  0.5065  0.5065  0.5065  3 Se 2.71, 3 Hg 2.96
Hg  0.7476  0.7476  0.7476  3 Se 2.80, 3 As 2.96
Se  0.0023  0.0023  0.0023  3 Hg 2.80, 3 Se 2.96
Se  0.2436  0.2436  0.2436  3 As 2.71, 3 Se 2.96

Computed properties:
Electronic total energy ... -2.882 eV/atom
Crystal system ... trigonal
Energy relative to the elements, uncorrected ... 98 meV per atom
Calculated volume ... 23.27 Å³/atom


Record 5
Below is an optimized crystal structure of Mg2HgP, with properties calculated at the PBE level.

Unit cell a=3.1633 b=3.1633 c=8.5239 alpha=90.00 beta=90.00 gamma=89.90
Last column: nearest neighbours and their distance in Å.
Fractional positions:
Hg  0.5000  0.5000  0.7497  4 Mg 3.11, 4 Hg 3.16, 4 P 3.33
Mg  0.0000  0.0000  0.0033  4 Hg 3.11, 8 Mg 3.16-3.29
Mg  0.5000  0.5000  0.2862  4 P 2.68-2.69
P  0.0000  0.0000  0.4607  4 Mg 2.68-2.69

Computed properties:
Energy of formation ... 0.06 eV/atom
Electronic total energy ... -2.170 eV/atom
Crystal system ... orthorhombic
Calculated volume ... 21.32 Å³/atom


Record 6
Below is an optimized crystal structure of Rb3Np3AgTe8, with properties calculated at the PBE level.

Unit cell a=8.9010 b=8.8919 c=10.0624 alpha=116.17 beta=90.01 gamma=120.02
Last column: nearest neighbours and their distance in Å.
Fractional positions:
Rb  0.0000  0.0000  0.0000  6 Te 3.65-3.71
Rb  0.0000  0.5000  0.0000  6 Te 3.65-3.71
Rb  0.5000  0.5000  0.0000  6 Te 3.65-3.71
Np  0.5000  0.0000  0.5000  6 Te 3.04-3.10
Np  0.5000  0.5000  0.5000  6 Te 3.04-3.10
Np  0.0000  0.5000  0.5000  6 Te 3.04-3.10
Ag  0.0000  0.0000  0.5000  6 Te 3.11-3.13
Te  0.2664  0.5327  0.2991  3 Np 3.10
Te  0.7336  0.4673  0.7009  3 Np 3.10
Te  0.7651  0.5303  0.3061  2 Np 3.05, 1 Ag 3.11
Te  0.2349  0.4697  0.6939  2 Np 3.05, 1 Ag 3.11
Te  0.7641  0.0412  0.3053  2 Np 3.04, 1 Ag 3.13
Te  0.2359  0.9588  0.6947  2 Np 3.04, 1 Ag 3.13
Te  0.2771  0.0412  0.3053  2 Np 3.04, 1 Ag 3.13
Te  0.7229  0.9588  0.6947  2 Np 3.04, 1 Ag 3.13

Computed properties:
Electronic total energy ... -5.337 eV/atom
Crystal system ... monoclinic
Energy relative to the elements, uncorrected ... -689 meV per atom
Calculated volume ... 39.56 Å³/atom


Record 7
Below is an optimized crystal structure of AsSeCl2, with properties calculated at the PBE level.

Unit cell a=4.7264 b=8.3386 c=14.7919 alpha=104.92 beta=90.00 gamma=90.00
Last column: nearest neighbours and their distance in Å.
Fractional positions:
As  0.3604  0.2683  0.6502  2 Cl 2.22-2.37, 1 Se 2.42
As  0.6396  0.7317  0.3498  2 Cl 2.22-2.37, 1 Se 2.42
As  0.8604  0.2317  0.8498  2 Cl 2.22-2.37, 1 Se 2.42
As  0.1396  0.7683  0.1502  2 Cl 2.22-2.37, 1 Se 2.42
Se  0.8113  0.5651  0.1808  2 As 2.42-2.66, 1 Cl 2.69
Se  0.1887  0.4349  0.8192  2 As 2.42-2.66, 1 Cl 2.69
Se  0.3113  0.9349  0.3192  2 As 2.42-2.66, 1 Cl 2.69
Se  0.6887  0.0651  0.6808  2 As 2.42-2.66, 1 Cl 2.69
Cl  0.1275  0.0227  0.8661  1 As 2.22
Cl  0.8725  0.9773  0.1339  1 As 2.22
Cl  0.6275  0.4773  0.6339  1 As 2.22
Cl  0.3725  0.5227  0.3661  1 As 2.22
Cl  0.7619  0.3573  0.0093  1 As 2.37
Cl  0.2381  0.6427  0.9907  1 As 2.37
Cl  0.2619  0.1427  0.4907  1 As 2.37
Cl  0.7381  0.8573  0.5093  1 As 2.37

Computed properties:
Electronic total energy ... -3.281 eV/atom
Crystal system ... monoclinic
Energy relative to the elements, uncorrected ... -324 meV per atom
Calculated volume ... 35.21 Å³/atom